# 1
This record from Alexandria describes a relaxed In3SiAs crystal. The functional is PBE.

abc: 5.156 5.156 5.156
angles: 90.00 90.00 90.00
Atoms (fractional coordinates):
As1 0.500 0.500 0.500
Si1 0.000 0.000 0.000
In1 0.000 0.500 0.000
In2 0.000 0.000 0.500
In3 0.500 0.000 0.000

Properties
Its total energy is -0.2363 Ry/atom. The value obtained for the uncorrected formation energy is 442 meV per atom. The density of states at the Fermi level comes out at 1.3 states/eV/cell. The energy above the most stable polymorph in this dataset comes out at 0 meV per atom. For the volume, the calculation gives 27.414 Å³/atom.


# 2
This record from Alexandria describes a relaxed Ca7C5 crystal. The functional is PBE.

abc: 6.734 6.734 6.734
angles: 110.49 110.49 107.45
Atoms (fractional coordinates):
Ca1 0.263 0.263 0.000
Ca2 0.506 0.006 0.500
Ca3 0.006 0.506 0.500
Ca4 0.755 0.006 0.252
Ca5 0.755 0.503 0.748
Ca6 0.503 0.755 0.748
Ca7 0.006 0.755 0.252
C1 0.952 0.952 0.000
C2 0.740 0.237 0.000
C3 0.237 0.740 0.000
C4 0.740 0.740 0.502
C5 0.237 0.237 0.498

Properties
Its total energy is -0.2613 Ry/atom. The density of states at the Fermi level comes out at 10.4 states/eV/cell. For the volume, the calculation gives 19.575 Å³/atom.


# 3
This record from Alexandria describes a relaxed SrPrNi10 crystal. The functional is PBE.

abc: 3.951 5.027 8.699
angles: 90.00 90.00 90.00
Atoms (fractional coordinates):
Sr1 0.000 0.000 0.000
Pr1 0.000 0.500 0.500
Ni1 0.000 0.000 0.337
Ni2 0.000 0.500 0.830
Ni3 0.000 0.500 0.170
Ni4 0.000 0.000 0.663
Ni5 0.500 0.000 0.500
Ni6 0.500 0.500 0.000
Ni7 0.500 0.252 0.254
Ni8 0.500 0.748 0.746
Ni9 0.500 0.748 0.254
Ni10 0.500 0.252 0.746

Properties
Its total energy is -0.4039 Ry/atom. The density of states at the Fermi level comes out at 16.0 states/eV/cell. For the volume, the calculation gives 14.397 Å³/atom.